# PBE NaAg2Se, optimized geometry
# D(E_F): 4.31 states/eV/cell
# Magnetization: 0.000 μB/f.u.
# VASP energy: -44.34 eV for the cell shown
data_NaAg2Se
_chemical_formula_sum 'Na4 Ag8 Se4'
_symmetry_space_group_name_H-M 'I -4 2 d'
_symmetry_Int_Tables_number 122
_symmetry_space_group_name_Hall 'I -4 2bw'
_cell_length_a 4.141
_cell_length_b 4.141
_cell_length_c 20.093
_cell_angle_alpha 90.00
_cell_angle_beta 90.00
_cell_angle_gamma 90.00
loop_
_atom_site_label
_atom_site_type_symbol
_atom_site_fract_x
_atom_site_fract_y
_atom_site_fract_z
Na1 Na 0.000 0.000 0.000
Ag1 Ag 0.232 0.250 0.625
Se1 Se 0.000 0.000 0.500